Record 1
DFT (PBE-GGA) results for a relaxed Mn2BeCr crystal.

abc: 2.8182 2.8182 5.2751
angles: 90.00 90.00 90.00
Last column: nearest neighbours and their distance in Å.
Fractional positions:
Mn: 0.0000 0.0000 0.2366  4 Be 2.35, 4 Cr 2.43, 1 Mn 2.50
Mn: 0.0000 0.0000 0.7634  4 Be 2.35, 4 Cr 2.43, 1 Mn 2.50
Be: 0.5000 0.5000 0.0000  8 Mn 2.35
Cr: 0.5000 0.5000 0.5000  8 Mn 2.43, 2 Be 2.64

## Properties
**Total DFT energy (no corrections)**: -7.994 eV/atom
**Energy of formation**: -6.9 kJ/mol of atoms



Record 2
DFT (PBE-GGA) results for a relaxed MnBeCr crystal.

abc: 4.3033 4.3033 4.3033
angles: 141.70 141.70 55.28
Last column: nearest neighbours and their distance in Å.
Fractional positions:
Mn: 0.0000 0.0000 0.0000  5 Cr 2.34-2.59, 5 Be 2.36-2.55
Be: 0.6661 0.6661 0.0000  5 Mn 2.36-2.55, 5 Cr 2.40-2.49
Cr: 0.3399 0.3399 0.0000  5 Mn 2.34-2.59, 5 Be 2.40-2.49

## Properties
**E above lowest polymorph**: 0.04 eV per formula unit
**Total DFT energy (no corrections)**: -7.568 eV/atom
**Energy of formation**: -5.9 kJ/mol of atoms



Record 3
DFT (PBE-GGA) results for a relaxed Mn3BeCr crystal.

abc: 3.8065 3.8065 3.8065
angles: 90.00 90.00 90.00
Last column: nearest neighbours and their distance in Å.
Fractional positions:
Mn: 0.0000 0.0000 0.5000  2 Be 1.90
Mn: 0.0000 0.5000 0.0000  2 Be 1.90
Mn: 0.5000 0.0000 0.0000  2 Be 1.90
Be: 0.0000 0.0000 0.0000  6 Mn 1.90
Cr: 0.5000 0.5000 0.5000  12 Mn 2.69

## Properties
**E above lowest polymorph**: 2.34 eV per formula unit
**Total DFT energy (no corrections)**: -7.395 eV/atom
**Energy of formation**: 74.9 kJ/mol of atoms